Record 1
{"formula": "CsRbMo2", "functional": "meta-GGA SCAN", "state": "PBEsol geometry", "ef_ev_per_atom": 2.23, "total_magnetization_mub_per_cell": 10.335, "total_energy_ev_per_atom": -29.8491, "cell": [[0.0000, 4.3804, 4.3804], [4.3804, 0.0000, 4.3804], [4.3804, 4.3804, 0.0000]], "species": ["Cs", "Rb", "Mo", "Mo"], "frac_coords": [[0.0000, 0.0000, 0.0000], [0.5000, 0.5000, 0.5000], [0.2500, 0.2500, 0.2500], [0.7500, 0.7500, 0.7500]]}

***

Record 2
{"formula": "CsMo2Rh", "functional": "meta-GGA SCAN", "state": "PBEsol geometry", "ef_ev_per_atom": 1.72, "total_magnetization_mub_per_cell": 0.000, "total_energy_ev_per_atom": -33.6165, "cell": [[0.0000, 3.2410, 3.2410], [3.2410, 0.0000, 3.2410], [3.2410, 3.2410, 0.0000]], "species": ["Cs", "Mo", "Mo", "Rh"], "frac_coords": [[0.0000, 0.0000, 0.0000], [0.2500, 0.2500, 0.2500], [0.7500, 0.7500, 0.7500], [0.5000, 0.5000, 0.5000]]}

***

- Number 1 is which compound?
  CsRbMo2